Compound: ScTcIr2
Source: the Alexandria database
Functional: PBE-GGA
Structure: relaxed

Computed properties:
Spin magnetization: 0.90 μB per atom
Energy of formation: -154 meV per atom
Total DFT energy (no corrections): -35.03 eV per cell
Polymorph energy (0 for the lowest one): 300.2 meV per atom
D(E_F): 1.1048 states/eV/atom

Cell: 4.5038 4.5038 4.5038 Å, 60.00 60.00 60.00°
With the nearest neighbours (Å) after each atom.
Fractional coordinates of all 4 atoms:
Sc: 0.0000 0.0000 0.0000  8 Ir 2.76
Ir: 0.2500 0.2500 0.2500  4 Tc 2.76, 4 Sc 2.76
Ir: 0.7500 0.7500 0.7500  4 Tc 2.76, 4 Sc 2.76
Tc: 0.5000 0.5000 0.5000  8 Ir 2.76